Record 1
First-principles (PBE) data for a relaxed structure of TaTl2Te, as listed in Alexandria via LeMat-Bulk.

Values from the calculation:
Calculated density = 11.8 g/cm³
Crystal system = cubic
Uncorrected formation energy = 0.733 eV/atom
E above lowest polymorph = 0.588 eV per atom

a = 5.2302 Å, b = 5.2302 Å, c = 5.2302 Å
α = 60.00°, β = 60.00°, γ = 60.00°
Sites, in units of the cell vectors:
1 Ta 0.0000 0.0000 0.0000
2 Tl 0.5000 0.5000 0.5000
3 Tl 0.7500 0.7500 0.7500
4 Te 0.2500 0.2500 0.2500


Record 2
First-principles (PBE) data for a relaxed structure of TaTl4Te4, as listed in Alexandria via LeMat-Bulk.

Values from the calculation:
Calculated density = 7.3 g/cm³
Crystal system = tetragonal
Uncorrected formation energy = -0.207 eV/atom

a = 9.8743 Å, b = 9.8743 Å, c = 7.0263 Å
α = 90.00°, β = 90.00°, γ = 90.00°
Sites, in units of the cell vectors:
1 Ta 0.2500 0.7500 0.2500
2 Ta 0.7500 0.2500 0.7500
3 Tl 0.0296 0.2500 0.0631
4 Tl 0.2500 0.0296 0.5631
5 Tl 0.2500 0.4704 0.5631
6 Tl 0.4704 0.2500 0.0631
7 Tl 0.5296 0.7500 0.9369
8 Tl 0.7500 0.5296 0.4369
9 Tl 0.7500 0.9704 0.4369
10 Tl 0.9704 0.7500 0.9369
11 Te 0.0257 0.7500 0.4620
12 Te 0.2500 0.5257 0.0380
13 Te 0.2500 0.9743 0.0380
14 Te 0.4743 0.7500 0.4620
15 Te 0.5257 0.2500 0.5380
16 Te 0.7500 0.0257 0.9620
17 Te 0.7500 0.4743 0.9620
18 Te 0.9743 0.2500 0.5380


Size of the total moment list, top to bottom, in μB per atom: 0.464; 0.101
Uncorrected energy list, top to bottom, in eV for the cell shown: -16.80; -71.50